No. 1
This record from Alexandria via LeMat-Bulk describes a relaxed structure of Li4Tb3Ga4. The functional is PBE.

Geometry as CIF:
```
data_Li4Tb3Ga4
_chemical_formula_sum 'Li8 Tb6 Ga8'
_symmetry_space_group_name_H-M 'I m m m'
_symmetry_Int_Tables_number 71
_symmetry_space_group_name_Hall '-I 2 2'
_cell_length_a 4.538
_cell_length_b 6.763
_cell_length_c 14.511
_cell_angle_alpha 90.00
_cell_angle_beta 90.00
_cell_angle_gamma 90.00
loop_
_atom_site_label
_atom_site_type_symbol
_atom_site_fract_x
_atom_site_fract_y
_atom_site_fract_z
Li1 Li 0.000 0.191 0.172
Tb1 Tb 0.000 0.000 0.377
Tb2 Tb 0.000 0.500 0.500
Ga1 Ga 0.000 0.308 0.000
Ga2 Ga 0.000 0.500 0.286
```

Calculated values
The calculation puts the density of states at the Fermi level at 12.4 states/eV/f.u. Its energy of formation from the pure elements is -363 meV per atom. The calculation puts the offset from the most stable computed form at 12 meV per atom. As for the calculated volume: 445.39 Å³/cell.

=====

No. 2
This record from Alexandria via LeMat-Bulk describes a relaxed structure of Li3TbGa2. The functional is PBE.

Geometry as CIF:
```
data_Li3TbGa2
_chemical_formula_sum 'Li12 Tb4 Ga8'
_symmetry_space_group_name_H-M 'C 1 2/m 1'
_symmetry_Int_Tables_number 12
_symmetry_space_group_name_Hall '-C 2y'
_cell_length_a 13.563
_cell_length_b 4.505
_cell_length_c 8.517
_cell_angle_alpha 90.00
_cell_angle_beta 119.03
_cell_angle_gamma 90.00
loop_
_atom_site_label
_atom_site_type_symbol
_atom_site_fract_x
_atom_site_fract_y
_atom_site_fract_z
Li1 Li 0.057 0.000 0.382
Li2 Li 0.090 0.500 0.694
Li3 Li 0.211 0.500 0.528
Tb1 Tb 0.138 0.000 0.020
Ga1 Ga 0.056 0.500 0.179
Ga2 Ga 0.219 0.000 0.740
```

Calculated values
The calculation puts the density of states at the Fermi level at 2.8 states/eV/f.u. Its energy of formation from the pure elements is -341 meV per atom. As for the calculated volume: 455.00 Å³/cell.

=====

- Number 1 is which compound?
  Li4Tb3Ga4